No. 1
A plane-wave DFT calculation with GGA-PBEsol was carried out for a geometry-optimized La2ZnRu structure.

**Raw total energy**: -23.10 eV for the cell shown
**ΔE_f**: -0.1628 eV per atom
**Space-group type**: P2/m (10)

Cell: 3.462 3.776 7.256 Å, 90.00 97.17 90.00°
Atoms (fractional coordinates):
La (0.926, 0.000, 0.230)
Ru (0.500, 0.500, 0.000)
Zn (0.500, 0.500, 0.500)
La (0.074, 0.000, 0.770)

No. 2
A plane-wave DFT calculation with GGA-PBEsol was carried out for a geometry-optimized SrCaMn2O6 structure.

**Raw total energy**: -77.65 eV for the cell shown
**Offset from the most stable computed form**: 9.0 meV/atom
**Raw formation energy**: -2.2659 eV per atom
**Space-group type**: Cmmm (65)

Cell: 3.824 5.262 5.262 Å, 90.81 90.00 90.00°
Each line ends with the local moment (μB).
Atoms (fractional coordinates):
Ca (0.500, 0.000, 0.000)  0.01
O (0.000, 0.288, 0.712)  0.07
Mn (0.000, 0.000, 0.500)  2.64
O (0.000, 0.795, 0.795)  0.06
O (0.500, 0.500, 0.000)  0.08
O (0.000, 0.205, 0.205)  0.06
O (0.000, 0.712, 0.288)  0.07
O (0.500, 0.000, 0.500)  0.08
Sr (0.500, 0.500, 0.500)  0.01
Mn (0.000, 0.500, 0.000)  2.64

No. 3
A plane-wave DFT calculation with GGA-PBEsol was carried out for a geometry-optimized Ag4TeMo structure.

**Raw total energy**: -25.17 eV for the cell shown
**Raw formation energy**: 0.5623 eV per atom
**Space-group type**: F-43m (216)

Cell: 5.430 5.430 5.430 Å, 60.00 60.00 60.00°
Each line ends with the local moment (μB).
Atoms (fractional coordinates):
Ag (0.376, 0.873, 0.376)  0.06
Te (0.000, 0.000, 0.000)  -0.04
Ag (0.376, 0.376, 0.376)  0.06
Mo (0.750, 0.750, 0.750)  3.17
Ag (0.376, 0.376, 0.873)  0.06
Ag (0.873, 0.376, 0.376)  0.06

Total magnetization values, unit μB/atom, following the record order: 0.000, 0.600, 0.651.
DOS(E_F) values, unit states/eV/atom, following the record order: 0.838, 0.167, 0.230.